1.
The following is a GGA-PBE calculation of RbAlZnO3 after structural relaxation, from the Alexandria database.

Geometry as CIF:
```
data_RbAlZnO3
_chemical_formula_sum 'Rb4 Al4 Zn4 O12'
_cell_length_a 5.514
_cell_length_b 10.296
_cell_length_c 5.421
_cell_angle_alpha 90.00
_cell_angle_beta 90.00
_cell_angle_gamma 90.00
_symmetry_space_group_name_H-M 'C m c m'
_symmetry_Int_Tables_number 63
_symmetry_space_group_name_Hall '-C 2c 2'
loop_
_atom_site_label
_atom_site_type_symbol
_atom_site_fract_x
_atom_site_fract_y
_atom_site_fract_z
Rb1 Rb 0.000 0.241 0.250
Al1 Al 0.000 0.441 0.750
Zn1 Zn 0.000 0.079 0.750
O1 O 0.000 0.269 0.750
O2 O 0.228 0.500 0.000
```

Results
Energy relative to the elements, uncorrected in kcal/mol of atoms: -46.0
ρ in g/cm³: 4.9
Volume in Å³/f.u.: 77

2.
The following is a GGA-PBE calculation of SmAsH2Rh after structural relaxation, from the Alexandria database.

Geometry as CIF:
```
data_SmAsH2Rh
_chemical_formula_sum 'Sm4 As4 H8 Rh4'
_cell_length_a 3.870
_cell_length_b 10.274
_cell_length_c 6.662
_cell_angle_alpha 90.00
_cell_angle_beta 90.00
_cell_angle_gamma 90.00
_symmetry_space_group_name_H-M 'C m c m'
_symmetry_Int_Tables_number 63
_symmetry_space_group_name_Hall '-C 2c 2'
loop_
_atom_site_label
_atom_site_type_symbol
_atom_site_fract_x
_atom_site_fract_y
_atom_site_fract_z
Sm1 Sm 0.000 0.217 0.250
As1 As 0.000 0.062 0.750
H1 H 0.000 0.335 0.555
Rh1 Rh 0.000 0.500 0.000
```

Results
Uncorrected energy in eV/atom: -5.39
ρ in g/cm³: 8.3
Volume in Å³/f.u.: 66